Record 1
Computed, not measured: crystalline KMoCl2 at its relaxed geometry at the PBE level of DFT.

Unit cell a=4.178 b=4.178 c=7.686 alpha=90.00 beta=90.00 gamma=117.28
Atoms (fractional coordinates):
K: 0.000 0.000 0.000
Mo: 0.000 0.000 0.500
Cl: 0.500 0.500 0.279
Cl: 0.500 0.500 0.721

Values from the calculation:
final energy: -16.5 eV for the cell shown
formation energy (no corrections): -231 meV per atom
relative energy among the computed polymorphs: 18.88 kJ/mol of atoms
crystal system: orthorhombic



Record 2
Computed, not measured: crystalline KMoCl2 at its relaxed geometry at the PBE level of DFT.

Unit cell a=9.426 b=9.426 c=9.426 alpha=20.17 beta=20.17 gamma=20.17
Atoms (fractional coordinates):
K: 0.000 0.000 0.000
Mo: 0.500 0.500 0.500
Cl: 0.415 0.415 0.415
Cl: 0.585 0.585 0.585

Values from the calculation:
final energy: -16.7 eV for the cell shown
formation energy (no corrections): -271 meV per atom
relative energy among the computed polymorphs: 15.05 kJ/mol of atoms
crystal system: trigonal



Record 3
Computed, not measured: crystalline K2MoCl at its relaxed geometry at the PBE level of DFT.

Unit cell a=6.016 b=6.016 c=6.016 alpha=60.00 beta=60.00 gamma=60.00
Atoms (fractional coordinates):
K: 0.250 0.250 0.250
K: 0.750 0.750 0.750
Mo: 0.000 0.000 0.000
Cl: 0.500 0.500 0.500

Values from the calculation:
final energy: -12.9 eV for the cell shown
formation energy (no corrections): 486 meV per atom
relative energy among the computed polymorphs: 25.64 kJ/mol of atoms
crystal system: cubic



Record 4
Computed, not measured: crystalline KMoCl2 at its relaxed geometry at the PBE level of DFT.

Unit cell a=3.967 b=3.967 c=7.226 alpha=90.00 beta=90.00 gamma=90.00
Atoms (fractional coordinates):
K: 0.000 0.000 0.000
Mo: 0.500 0.500 0.464
Cl: 0.000 0.000 0.441
Cl: 0.500 0.500 0.834

Values from the calculation:
final energy: -16.8 eV for the cell shown
formation energy (no corrections): -307 meV per atom
relative energy among the computed polymorphs: 11.60 kJ/mol of atoms
crystal system: tetragonal



Record 5
Computed, not measured: crystalline KMoCl5 at its relaxed geometry at the PBE level of DFT.

Unit cell a=7.893 b=7.893 c=9.555 alpha=107.87 beta=107.87 gamma=54.85
Atoms (fractional coordinates):
K: 0.022 0.978 0.750
K: 0.978 0.022 0.250
Mo: 0.500 0.500 0.000
Mo: 0.500 0.500 0.500
Cl: 0.144 0.607 0.472
Cl: 0.149 0.592 0.898
Cl: 0.393 0.856 0.028
Cl: 0.408 0.592 0.250
Cl: 0.408 0.851 0.602
Cl: 0.592 0.149 0.398
Cl: 0.592 0.408 0.750
Cl: 0.607 0.144 0.972
Cl: 0.851 0.408 0.102
Cl: 0.856 0.393 0.528

Values from the calculation:
final energy: -58.2 eV for the cell shown
formation energy (no corrections): -1137 meV per atom
crystal system: monoclinic



Record 6
Computed, not measured: crystalline KMoCl2 at its relaxed geometry at the PBE level of DFT.

Unit cell a=4.657 b=4.657 c=7.197 alpha=93.17 beta=93.17 gamma=60.14
Atoms (fractional coordinates):
K: 0.000 0.000 0.000
Mo: 0.500 0.500 0.500
Cl: 0.321 0.321 0.765
Cl: 0.679 0.679 0.235

Values from the calculation:
final energy: -17.2 eV for the cell shown
formation energy (no corrections): -391 meV per atom
relative energy among the computed polymorphs: 3.49 kJ/mol of atoms
crystal system: monoclinic